LaNd3Sm12 | GGA-PBE | optimized geometry

The calculated density is 7.19 Mg/m³. Its spin magnetization is 0.0 μB/cell. The calculation puts the density of states at the Fermi level at 24.37 states/eV/cell. The energy relative to the elements comes out at 23.0 kJ/mol of formula units.

The space group is P4/mmm (No. 123) and the conventional cell measures 5.1592, 5.1592 and 20.6092 Å, with angles of 90.00, 90.00 and 90.00 degrees. Symmetry generates all atoms from La at (0.0000, 0.0000, 0.0000), Nd at (0.0000, 0.0000, 0.2500), Nd at (0.0000, 0.0000, 0.5000), Sm at (0.0000, 0.5000, 0.1259), Sm at (0.0000, 0.5000, 0.3751), Sm at (0.5000, 0.5000, 0.0000), Sm at (0.5000, 0.5000, 0.2508) and Sm at (0.5000, 0.5000, 0.5000).

LaNd3Sm | GGA-PBE | optimized geometry

The calculated density is 6.70 Mg/m³. Its spin magnetization is 0.0 μB/cell. The calculation puts the density of states at the Fermi level at 33.45 states/eV/cell. The energy above the most stable polymorph in this dataset is 0.098 eV per atom. The energy relative to the elements comes out at 54.7 kJ/mol of formula units.

The space group is C2/m (No. 12) and the conventional cell measures 11.8842, 7.2116 and 8.8631 Å, with angles of 90.00, 109.56 and 90.00 degrees. Symmetry generates all atoms from La at (0.0563, 0.0000, 0.2234), Nd at (0.1539, 0.2504, 0.6154), Nd at (0.2505, 0.0000, 0.9992) and Sm at (0.0567, 0.5000, 0.2271).

LaNdSm2 | GGA-PBE | optimized geometry

The calculated density is 6.93 Mg/m³. Its spin magnetization is 0.0 μB/cell. The calculation puts the density of states at the Fermi level at 7.05 states/eV/cell. The energy above the most stable polymorph in this dataset is 0.022 eV per atom. The energy relative to the elements comes out at 6.7 kJ/mol of formula units.

The space group is P4/mmm (No. 123) and the conventional cell measures 5.1984, 5.1984 and 5.1748 Å, with angles of 90.00, 90.00 and 90.00 degrees. Symmetry generates all atoms from La at (0.0000, 0.0000, 0.0000), Nd at (0.5000, 0.5000, 0.0000) and Sm at (0.0000, 0.5000, 0.5000).

La2Nd7Sm3 | GGA-PBE | optimized geometry

The calculated density is 6.75 Mg/m³. Its spin magnetization is 0.0 μB/cell. The calculation puts the density of states at the Fermi level at 17.11 states/eV/cell. The energy above the most stable polymorph in this dataset is 0.018 eV per atom. The energy relative to the elements comes out at 97.8 kJ/mol of formula units.

The space group is P2/m (No. 10) and the conventional cell measures 6.0310, 3.6633 and 19.3834 Å, with angles of 90.00, 93.18 and 90.00 degrees. Symmetry generates all atoms from La at (0.2018, 0.0000, 0.2963), Nd at (0.1805, 0.5000, 0.1431), Nd at (0.2425, 0.0000, 0.4639), Nd at (0.3182, 0.0000, 0.8243), Nd at (0.5000, 0.5000, 0.0000), Sm at (0.0000, 0.0000, 0.0000) and Sm at (0.2862, 0.5000, 0.6309).

La2Nd2Sm7 | GGA-PBE | optimized geometry

The calculated density is 6.93 Mg/m³. Its spin magnetization is 0.0 μB/cell. The calculation puts the density of states at the Fermi level at 33.62 states/eV/cell. The energy above the most stable polymorph in this dataset is 0.007 eV per atom. The energy relative to the elements comes out at 150.8 kJ/mol of formula units.

The space group is C2/m (No. 12) and the conventional cell measures 11.5593, 11.7725 and 6.1971 Å, with angles of 90.00, 113.07 and 90.00 degrees. Symmetry generates all atoms from La at (0.0000, 0.2164, 0.0000), Nd at (0.2366, 0.0000, 0.0865), Sm at (0.0000, 0.0000, 0.5000), Sm at (0.0904, 0.5000, 0.3094) and Sm at (0.1737, 0.2352, 0.6674).

LaNdSm2 | GGA-PBE | optimized geometry

The calculated density is 6.91 Mg/m³. Its spin magnetization is 0.0 μB/cell. The calculation puts the density of states at the Fermi level at 6.70 states/eV/cell. The energy above the most stable polymorph in this dataset is 0.023 eV per atom. The energy relative to the elements comes out at 7.1 kJ/mol of formula units.

The space group is P4/mmm (No. 123) and the conventional cell measures 3.6787, 3.6787 and 10.3625 Å, with angles of 90.00, 90.00 and 90.00 degrees. Symmetry generates all atoms from La at (0.0000, 0.0000, 0.0000), Nd at (0.0000, 0.0000, 0.5000) and Sm at (0.5000, 0.5000, 0.2527).

La3Nd8Sm | GGA-PBE | optimized geometry

The calculated density is 6.56 Mg/m³. Its spin magnetization is 0.0 μB/cell. The calculation puts the density of states at the Fermi level at 36.95 states/eV/cell. The energy relative to the elements comes out at 289.9 kJ/mol of formula units.

The space group is I222 (No. 23) and the conventional cell measures 6.5872, 9.1090 and 14.5250 Å, with angles of 90.00, 90.00 and 90.00 degrees. Symmetry generates all atoms from La at (0.0000, 0.0000, 0.0000), La at (0.0000, 0.5000, 0.3816), Nd at (0.1316, 0.3333, 0.9035), Nd at (0.1547, 0.1485, 0.7118) and Sm at (0.0000, 0.0000, 0.5000).

La5Nd4Sm | GGA-PBE | optimized geometry

The calculated density is 6.37 Mg/m³. Its spin magnetization is 0.0 μB/cell. The calculation puts the density of states at the Fermi level at 30.62 states/eV/cell. The energy above the most stable polymorph in this dataset is 0.000 eV per atom. The energy relative to the elements comes out at 141.2 kJ/mol of formula units.

The space group is C2/m (No. 12) and the conventional cell measures 17.8951, 3.6582 and 11.3278 Å, with angles of 90.00, 90.28 and 90.00 degrees. Symmetry generates all atoms from La at (0.0000, 0.0000, 0.0000), La at (0.1740, 0.5000, 0.5559), La at (0.1740, 0.5000, 0.9412), Nd at (0.0282, 0.5000, 0.7486), Nd at (0.1503, 0.0000, 0.2490) and Sm at (0.0000, 0.0000, 0.5000).

La3Nd2Sm | GGA-PBE | optimized geometry

The calculated density is 6.50 Mg/m³. Its spin magnetization is 0.0 μB/cell. The calculation puts the density of states at the Fermi level at 23.36 states/eV/cell. The energy above the most stable polymorph in this dataset is 0.210 eV per atom. The energy relative to the elements comes out at 128.3 kJ/mol of formula units.

The space group is Pnnm (No. 58) and the conventional cell measures 6.8915, 18.1330 and 3.4996 Å, with angles of 90.00, 90.00 and 90.00 degrees. Symmetry generates all atoms from La at (0.0000, 0.0000, 0.0000), La at (0.2341, 0.3193, 0.0000), Nd at (0.2286, 0.1514, 0.5000) and Sm at (0.0000, 0.5000, 0.0000).

La2Nd4Sm | GGA-PBE | optimized geometry

The calculated density is 6.44 Mg/m³. Its spin magnetization is 0.0 μB/cell. The calculation puts the density of states at the Fermi level at 21.71 states/eV/cell. The energy above the most stable polymorph in this dataset is 0.032 eV per atom. The energy relative to the elements comes out at 160.1 kJ/mol of formula units.

The space group is P-1 (No. 2) and the conventional cell measures 7.1919, 8.5718 and 8.5971 Å, with angles of 87.02, 81.60 and 81.33 degrees. Symmetry generates all atoms from La at (0.0000, 0.0000, 0.0000), La at (0.0000, 0.0000, 0.5000), La at (0.0000, 0.5000, 0.0000), La at (0.5000, 0.0000, 0.0000), Nd at (0.2675, 0.2485, 0.2496), Nd at (0.2699, 0.7489, 0.7500), Nd at (0.3845, 0.1451, 0.6402), Nd at (0.3845, 0.6399, 0.1453), Sm at (0.0000, 0.5000, 0.5000) and Sm at (0.5000, 0.5000, 0.5000).

La6NdSm12 | GGA-PBE | optimized geometry

The calculated density is 6.94 Mg/m³. Its spin magnetization is 0.0 μB/cell. The calculation puts the density of states at the Fermi level at 96.53 states/eV/cell. The energy above the most stable polymorph in this dataset is 0.000 eV per atom. The energy relative to the elements comes out at 36.7 kJ/mol of formula units.

The space group is R-3 (No. 148, hexagonal axes) and the conventional cell measures 15.9937, 15.9937 and 9.0082 Å, with angles of 90.00, 90.00 and 120.00 degrees. Symmetry generates all atoms from La at (0.0348, 0.7553, 0.3340), Nd at (0.0000, 0.0000, 0.0000), Sm at (0.0176, 0.8778, 0.6677) and Sm at (0.0712, 0.5101, 0.6664).

La7NdSm4 | GGA-PBE | optimized geometry

The calculated density is 6.62 Mg/m³. Its spin magnetization is 0.0 μB/cell. The calculation puts the density of states at the Fermi level at 20.32 states/eV/cell. The energy above the most stable polymorph in this dataset is 0.000 eV per atom. The energy relative to the elements comes out at 17.2 kJ/mol of formula units.

The space group is P-1 (No. 2) and the conventional cell measures 6.4776, 7.4303 and 9.2073 Å, with angles of 89.95, 76.53 and 89.97 degrees. Symmetry generates all atoms from La at (0.0000, 0.0000, 0.0000), La at (0.2206, 0.5000, 0.3328), La at (0.2809, 0.7508, 0.6655), La at (0.4990, 0.7516, 0.0010), Nd at (0.0000, 0.5000, 0.0000), Sm at (0.2198, 0.0004, 0.3328) and Sm at (0.2777, 0.2473, 0.6694).

LaNdSmSn | GGA-PBE | optimized geometry

The calculated density is 7.46 Mg/m³. Its spin magnetization is 0.0 μB/cell. The calculation puts the density of states at the Fermi level at 8.95 states/eV/cell. The energy above the most stable polymorph in this dataset is 0.000 eV per atom. The energy relative to the elements comes out at -159.0 kJ/mol of formula units.

The space group is I-4m2 (No. 119) and the conventional cell measures 4.9091, 4.9091 and 10.2077 Å, with angles of 90.00, 90.00 and 90.00 degrees. Symmetry generates all atoms from La at (0.0000, 0.0000, 0.0000), Nd at (0.0000, 0.5000, 0.7500), Sm at (0.0000, 0.5000, 0.2500) and Sn at (0.0000, 0.0000, 0.5000).

LaNdSmSn | GGA-PBE | optimized geometry

The calculated density is 7.36 Mg/m³. Its spin magnetization is 0.0 μB/cell. The calculation puts the density of states at the Fermi level at 27.04 states/eV/cell. The energy above the most stable polymorph in this dataset is 0.141 eV per atom. The energy relative to the elements comes out at -104.4 kJ/mol of formula units.

The space group is F-43m (No. 216) and the conventional cell measures 7.9269, 7.9269 and 7.9269 Å, with angles of 90.00, 90.00 and 90.00 degrees. Symmetry generates all atoms from La at (0.0000, 0.0000, 0.0000), Nd at (0.0000, 0.0000, 0.5000), Sm at (0.2500, 0.2500, 0.2500) and Sn at (0.2500, 0.2500, 0.7500).

La2TbNd2Sm | GGA-PBE | optimized geometry

The calculated density is 6.95 Mg/m³. Its spin magnetization is 0.0 μB/cell. The calculation puts the density of states at the Fermi level at 18.48 states/eV/cell. The energy relative to the elements comes out at 28.6 kJ/mol of formula units.

The space group is Pmma (No. 51) and the conventional cell measures 7.1650, 5.8112 and 10.0448 Å, with angles of 90.00, 90.00 and 90.00 degrees. Symmetry generates all atoms from La at (0.0000, 0.0000, 0.0000), La at (0.2500, 0.5000, 0.1740), Tb at (0.0000, 0.5000, 0.5000), Nd at (0.2500, 0.0000, 0.3330), Nd at (0.2500, 0.5000, 0.8346) and Sm at (0.2500, 0.0000, 0.6604).

La4Tb2NdSm | GGA-PBE | optimized geometry

The calculated density is 6.94 Mg/m³. Its spin magnetization is 0.0 μB/cell. The calculation puts the density of states at the Fermi level at 11.89 states/eV/cell. The energy relative to the elements comes out at 8.2 kJ/mol of formula units.

The space group is P2/m (No. 10) and the conventional cell measures 6.3754, 3.6899 and 12.0636 Å, with angles of 90.00, 100.17 and 90.00 degrees. Symmetry generates all atoms from La at (0.2475, 0.0000, 0.2480), La at (0.2480, 0.5000, 0.7496), Tb at (0.0000, 0.0000, 0.5000), Tb at (0.0000, 0.5000, 0.0000), Nd at (0.5000, 0.5000, 0.5000) and Sm at (0.5000, 0.0000, 0.0000).

LaTbNd2Sm6 | GGA-PBE | optimized geometry

The calculated density is 7.13 Mg/m³. Its spin magnetization is 0.0 μB/cell. The calculation puts the density of states at the Fermi level at 63.89 states/eV/cell. The energy relative to the elements comes out at 115.2 kJ/mol of formula units.

The space group is C2/c (No. 15) and the conventional cell measures 9.1711, 15.3822 and 9.9630 Å, with angles of 90.00, 99.34 and 90.00 degrees. Symmetry generates all atoms from La at (0.0000, 0.0957, 0.2500), Tb at (0.0000, 0.4809, 0.7500), Nd at (0.2385, 0.4489, 0.0410), Sm at (0.0659, 0.3137, 0.4438), Sm at (0.1035, 0.1034, 0.6221) and Sm at (0.1970, 0.2750, 0.8167).

LaTbNd2Sm4 | GGA-PBE | optimized geometry

The calculated density is 7.17 Mg/m³. Its spin magnetization is 0.0 μB/cell. The calculation puts the density of states at the Fermi level at 12.52 states/eV/cell. The energy relative to the elements comes out at 13.3 kJ/mol of formula units.

The space group is P2/m (No. 10) and the conventional cell measures 6.2977, 3.6605 and 12.1341 Å, with angles of 90.00, 100.34 and 90.00 degrees. Symmetry generates all atoms from La at (0.0000, 0.0000, 0.0000), Tb at (0.5000, 0.5000, 0.0000), Nd at (0.0000, 0.5000, 0.5000), Nd at (0.5000, 0.0000, 0.5000), Sm at (0.2496, 0.5000, 0.2502) and Sm at (0.2516, 0.0000, 0.7511).

La2TbNdSm5 | GGA-PBE | optimized geometry

The calculated density is 7.10 Mg/m³. Its spin magnetization is 0.0 μB/cell. The calculation puts the density of states at the Fermi level at 55.05 states/eV/cell. The energy relative to the elements comes out at 213.9 kJ/mol of formula units.

The space group is I4/mcm (No. 140) and the conventional cell measures 8.7731, 8.7731 and 16.2011 Å, with angles of 90.00, 90.00 and 90.00 degrees. Symmetry generates all atoms from La at (0.1188, 0.3812, 0.0000), Tb at (0.0000, 0.5000, 0.2500), Nd at (0.0000, 0.0000, 0.2500), Sm at (0.0000, 0.0000, 0.0000) and Sm at (0.2160, 0.2840, 0.3584).

La2Tb5NdSm | GGA-PBE | optimized geometry

The calculated density is 7.48 Mg/m³. Its spin magnetization is 0.0 μB/cell. The calculation puts the density of states at the Fermi level at 49.42 states/eV/cell. The energy relative to the elements comes out at 211.0 kJ/mol of formula units.

The space group is I4/mcm (No. 140) and the conventional cell measures 8.7329, 8.7329 and 15.9254 Å, with angles of 90.00, 90.00 and 90.00 degrees. Symmetry generates all atoms from La at (0.1180, 0.3820, 0.0000), Tb at (0.0000, 0.0000, 0.0000), Tb at (0.2138, 0.2862, 0.3596), Nd at (0.0000, 0.0000, 0.2500) and Sm at (0.0000, 0.5000, 0.2500).

La6TbNd2Sm | GGA-PBE | optimized geometry

The calculated density is 6.66 Mg/m³. Its spin magnetization is 0.0 μB/cell. The calculation puts the density of states at the Fermi level at 49.80 states/eV/cell. The energy relative to the elements comes out at 103.4 kJ/mol of formula units.

The space group is C2/c (No. 15) and the conventional cell measures 9.9093, 15.4577 and 9.3132 Å, with angles of 90.00, 90.38 and 90.00 degrees. Symmetry generates all atoms from La at (0.0738, 0.1473, 0.0941), La at (0.0744, 0.3526, 0.9078), La at (0.2492, 0.2815, 0.3192), Tb at (0.0000, 0.4318, 0.2500), Nd at (0.2492, 0.4550, 0.5641) and Sm at (0.0000, 0.0708, 0.7500).